# PBE-GGA Tb3Cd2Hg, relaxed
data_Tb3Cd2Hg
_chemical_formula_sum 'Tb3 Cd2 Hg1'
_cell_length_a 5.2977
_cell_length_b 5.2977
_cell_length_c 6.5125
_cell_angle_alpha 90.00
_cell_angle_beta 90.00
_cell_angle_gamma 120.00
_symmetry_space_group_name_H-M 'P -3 m 1'
_symmetry_Int_Tables_number 164
_symmetry_space_group_name_Hall '-P 3 2"'
loop_
_atom_site_label
_atom_site_type_symbol
_atom_site_fract_x
_atom_site_fract_y
_atom_site_fract_z
Tb1 Tb 0.0000 0.0000 0.0000
Tb2 Tb 0.3333 0.6667 0.6607
Cd1 Cd 0.3333 0.6667 0.1550
Hg1 Hg 0.0000 0.0000 0.5000
# V (Å³ per cell): 158.3
# Final energy (Ry per atom): -0.2237
# ΔH_f (0 K) (meV/atom): -374



# PBE-GGA TbCd14Hg, relaxed
data_TbCd14Hg
_chemical_formula_sum 'Tb1 Cd14 Hg1'
_cell_length_a 6.603
_cell_length_b 6.603
_cell_length_c 8.563
_cell_angle_alpha 90.00
_cell_angle_beta 90.00
_cell_angle_gamma 90.00
_symmetry_space_group_name_H-M 'P 4/m m m'
_symmetry_Int_Tables_number 123
_symmetry_space_group_name_Hall '-P 4 2'
loop_
_atom_site_label
_atom_site_type_symbol
_atom_site_fract_x
_atom_site_fract_y
_atom_site_fract_z
Tb1 Tb 0.000 0.000 0.000
Cd1 Cd 0.000 0.000 0.500
Cd2 Cd 0.000 0.500 0.000
Cd3 Cd 0.000 0.500 0.500
Cd4 Cd 0.253 0.253 0.255
Cd5 Cd 0.500 0.500 0.500
Hg1 Hg 0.500 0.500 0.000
# V (Å³ per cell): 373.3
# Final energy (Ry per atom): -0.0847
# ΔH_f (0 K) (meV/atom): -43



# PBE-GGA TbCdHg3, relaxed
data_TbCdHg3
_chemical_formula_sum 'Tb4 Cd4 Hg12'
_cell_length_a 28.088
_cell_length_b 3.576
_cell_length_c 5.223
_cell_angle_alpha 90.00
_cell_angle_beta 94.21
_cell_angle_gamma 90.00
_symmetry_space_group_name_H-M 'C 1 2/m 1'
_symmetry_Int_Tables_number 12
loop_
_symmetry_equiv_pos_as_xyz
'x,y,z'
'-x,-y,-z'
'-x,y,-z'
'x,-y,z'
'x+1/2,y+1/2,z'
'-x+1/2,-y+1/2,-z'
'-x+1/2,y+1/2,-z'
'x+1/2,-y+1/2,z'
loop_
_atom_site_label
_atom_site_type_symbol
_atom_site_fract_x
_atom_site_fract_y
_atom_site_fract_z
Tb1 Tb 0.121 0.000 0.302
Cd1 Cd 0.084 0.500 0.786
Hg1 Hg 0.028 0.500 0.262
Hg2 Hg 0.185 0.000 0.827
Hg3 Hg 0.213 0.500 0.323
# ΔE to the lowest computed polymorph (meV per atom): 120
# V (Å³ per cell): 523.1
# Final energy (Ry per atom): -0.1065
# ΔH_f (0 K) (meV/atom): -159



# PBE-GGA TbCd2Hg2, relaxed
data_TbCd2Hg2
_chemical_formula_sum 'Tb3 Cd6 Hg6'
_cell_length_a 4.8961
_cell_length_b 4.8961
_cell_length_c 17.3480
_cell_angle_alpha 90.00
_cell_angle_beta 90.00
_cell_angle_gamma 120.00
_symmetry_space_group_name_H-M 'R -3 m'
_symmetry_Int_Tables_number 166
_symmetry_space_group_name_Hall '-R 3 2"'
loop_
_atom_site_label
_atom_site_type_symbol
_atom_site_fract_x
_atom_site_fract_y
_atom_site_fract_z
Tb1 Tb 0.0000 0.0000 0.0000
Cd1 Cd 0.0000 0.0000 0.2026
Hg1 Hg 0.0000 0.0000 0.4069
# V (Å³ per cell): 360.2
# Final energy (Ry per atom): -0.1235
# ΔH_f (0 K) (meV/atom): -267



# PBE-GGA Tb4CdHg3, relaxed
data_Tb4CdHg3
_chemical_formula_sum 'Tb8 Cd2 Hg6'
_cell_length_a 15.954
_cell_length_b 5.272
_cell_length_c 5.272
_cell_angle_alpha 90.00
_cell_angle_beta 109.23
_cell_angle_gamma 90.00
_symmetry_space_group_name_H-M 'C 1 2/m 1'
_symmetry_Int_Tables_number 12
loop_
_symmetry_equiv_pos_as_xyz
'x,y,z'
'-x,-y,-z'
'-x,y,-z'
'x,-y,z'
'x+1/2,y+1/2,z'
'-x+1/2,-y+1/2,-z'
'-x+1/2,y+1/2,-z'
'x+1/2,-y+1/2,z'
loop_
_atom_site_label
_atom_site_type_symbol
_atom_site_fract_x
_atom_site_fract_y
_atom_site_fract_z
Tb1 Tb 0.126 0.000 0.126
Tb2 Tb 0.126 0.500 0.626
Cd1 Cd 0.000 0.000 0.500
Hg1 Hg 0.000 0.500 0.000
Hg2 Hg 0.249 0.000 0.749
# V (Å³ per cell): 418.7
# Final energy (Ry per atom): -0.2190
# ΔH_f (0 K) (meV/atom): -437



# PBE-GGA TbCd2Hg3, relaxed
data_TbCd2Hg3
_chemical_formula_sum 'Tb2 Cd4 Hg6'
_cell_length_a 5.1227
_cell_length_b 5.1227
_cell_length_c 12.5304
_cell_angle_alpha 90.00
_cell_angle_beta 90.00
_cell_angle_gamma 120.00
_symmetry_space_group_name_H-M 'P -3 m 1'
_symmetry_Int_Tables_number 164
_symmetry_space_group_name_Hall '-P 3 2"'
loop_
_atom_site_label
_atom_site_type_symbol
_atom_site_fract_x
_atom_site_fract_y
_atom_site_fract_z
Tb1 Tb 0.3333 0.6667 0.1620
Cd1 Cd 0.0000 0.0000 0.0000
Cd2 Cd 0.0000 0.0000 0.5000
Cd3 Cd 0.3333 0.6667 0.6686
Hg1 Hg 0.0000 0.0000 0.2544
Hg2 Hg 0.3333 0.6667 0.4155
Hg3 Hg 0.3333 0.6667 0.9152
# ΔE to the lowest computed polymorph (meV per atom): 0
# V (Å³ per cell): 284.8
# Final energy (Ry per atom): -0.1072
# ΔH_f (0 K) (meV/atom): -231



DOS at the Fermi energy values (in states/eV/f.u.) by entry order: 6.6; 6.8; 3.1; 2.1; 9.4; 2.9.